DFT (PBE) results for crystalline NaTmPb2 at its relaxed geometry.

The structure belongs to space group R3m (No. 160, hexagonal axes); the cell edges are 4.9981, 4.9981 and 17.9606 Å and the angles 90.00°, 90.00° and 120.00°. The inequivalent atoms are Na at (0.0000, 0.0000, 0.0000), Tm at (0.0000, 0.0000, 0.8077), Pb at (0.0000, 0.0000, 0.2243) and Pb at (0.0000, 0.0000, 0.4100).

As for the energy of formation from the pure elements: -0.032 eV/atom. Its density of states at the Fermi level is 11.719 states/eV per cell.

=====

DFT (PBE) results for crystalline Tb5Y2Ho4 at its relaxed geometry.

The structure belongs to space group C2/m (No. 12); the cell edges are 11.0085, 7.3214 and 9.1661 Å and the angles 90.00°, 106.56° and 90.00°. The inequivalent atoms are Tb at (0.0000, 0.0000, 0.0000), Tb at (0.0701, 0.2801, 0.2741), Y at (0.1445, 0.0000, 0.6228), Ho at (0.1662, 0.5000, 0.6186) and Ho at (0.1858, 0.5000, 0.9962).

Its relative energy among the computed polymorphs is 0.00 eV per formula unit. As for the energy of formation from the pure elements: 0.137 eV/atom. Its density of states at the Fermi level is 37.176 states/eV per cell.

=====

Number 1: E -40.00 eV per cell. Number 2: E -105.76 eV per cell.